# CeTh3Sn2, optimized geometry, DFT GGA-PBE
data_CeTh3Sn2
_chemical_formula_sum 'Ce1 Th3 Sn2'
_symmetry_space_group_name_H-M 'P 1'
_symmetry_Int_Tables_number 1
_cell_length_a 4.5071
_cell_length_b 4.5071
_cell_length_c 9.0378
_cell_angle_alpha 90.00
_cell_angle_beta 90.00
_cell_angle_gamma 90.00
loop_
_symmetry_equiv_pos_as_xyz
'x,y,z'
loop_
_atom_site_label
_atom_site_type_symbol
_atom_site_fract_x
_atom_site_fract_y
_atom_site_fract_z
Ce1 Ce 0.5000 0.5000 0.0000
Th1 Th 0.5000 0.0000 0.3642
Th2 Th 0.0000 0.5000 0.6358
Th3 Th 0.0000 0.0000 0.0000
Sn1 Sn 0.5000 0.0000 0.7275
Sn2 Sn 0.0000 0.5000 0.2725
# Total energy = -0.237 hartree per atom
# Mass density = 9.7 g/cm3
# ΔH_f (0 K) = -2.41 eV/f.u.